(1)
Computed, not measured: a relaxed Dy2GeSe5 crystal at the PBE level of DFT.

## Properties
Formation energy from raw total energies, meV/atom: -1132
SG: Cmcm

a = 7.599 Å, b = 7.599 Å, c = 12.660 Å
α = 90.00°, β = 90.00°, γ = 135.80°
Sites, in units of the cell vectors:
Dy  0.169  0.831  0.573
Dy  0.169  0.831  0.927
Dy  0.831  0.169  0.073
Dy  0.831  0.169  0.427
Ge  0.193  0.807  0.250
Ge  0.807  0.193  0.750
Se  0.030  0.970  0.093
Se  0.030  0.970  0.407
Se  0.286  0.714  0.750
Se  0.309  0.691  0.091
Se  0.309  0.691  0.409
Se  0.691  0.309  0.591
Se  0.691  0.309  0.909
Se  0.714  0.286  0.250
Se  0.970  0.030  0.593
Se  0.970  0.030  0.907

---

(2)
Computed, not measured: a relaxed PrMgAlPd3 crystal at the PBE level of DFT.

## Properties
Formation energy, eV per atom: -0.538
DOS(E_F), states/eV/f.u.: 3.85
SG: Cmcm

a = 7.027 Å, b = 7.027 Å, c = 5.862 Å
α = 90.00°, β = 90.00°, γ = 121.98°
Sites, in units of the cell vectors:
Pr  0.198  0.802  0.750
Pr  0.802  0.198  0.250
Mg  0.454  0.546  0.750
Mg  0.546  0.454  0.250
Al  0.126  0.874  0.250
Al  0.874  0.126  0.750
Pd  0.203  0.203  0.000
Pd  0.203  0.203  0.500
Pd  0.327  0.673  0.250
Pd  0.673  0.327  0.750
Pd  0.797  0.797  0.000
Pd  0.797  0.797  0.500

---

(3)
Computed, not measured: a relaxed Tl2Pb5Br12 crystal at the PBE level of DFT.

## Properties
Formation energy from raw total energies, meV/atom: -853
DOS(E_F), states/eV/f.u.: 0.00
SG: C2/m

a = 9.148 Å, b = 9.148 Å, c = 11.294 Å
α = 104.15°, β = 104.15°, γ = 53.22°
Sites, in units of the cell vectors:
Tl  0.210  0.790  0.000
Tl  0.790  0.210  0.000
Pb  0.000  0.000  0.500
Pb  0.300  0.300  0.671
Pb  0.338  0.338  0.267
Pb  0.662  0.662  0.733
Pb  0.700  0.700  0.329
Br  0.040  0.548  0.853
Br  0.050  0.050  0.774
Br  0.120  0.600  0.479
Br  0.400  0.880  0.521
Br  0.452  0.960  0.147
Br  0.489  0.489  0.792
Br  0.511  0.511  0.208
Br  0.548  0.040  0.853
Br  0.600  0.120  0.479
Br  0.880  0.400  0.521
Br  0.950  0.950  0.226
Br  0.960  0.452  0.147

---

(4)
Computed, not measured: a relaxed Ho12GaNi6 crystal at the PBE level of DFT.

## Properties
Formation energy, eV per atom: -0.370
Excess energy over the best structure of this formula in the dataset, eV per formula unit: 0.00
DOS(E_F), states/eV/f.u.: 18.74
SG: Im-3

a = 8.310 Å, b = 8.310 Å, c = 8.310 Å
α = 109.47°, β = 109.47°, γ = 109.47°
Sites, in units of the cell vectors:
Ho  0.114  0.301  0.813
Ho  0.187  0.487  0.301
Ho  0.187  0.886  0.699
Ho  0.301  0.187  0.487
Ho  0.301  0.813  0.114
Ho  0.487  0.301  0.187
Ho  0.513  0.699  0.813
Ho  0.699  0.187  0.886
Ho  0.699  0.813  0.513
Ho  0.813  0.114  0.301
Ho  0.813  0.513  0.699
Ho  0.886  0.699  0.187
Ga  0.000  0.000  0.000
Ni  0.125  0.500  0.625
Ni  0.375  0.875  0.500
Ni  0.500  0.375  0.875
Ni  0.500  0.625  0.125
Ni  0.625  0.125  0.500
Ni  0.875  0.500  0.375

---

(5)
Computed, not measured: a relaxed AlCuCl2 crystal at the PBE level of DFT.

## Properties
Formation energy from raw total energies, meV/atom: -454
Excess energy over the best structure of this formula in the dataset, eV per formula unit: 0.77
DOS(E_F), states/eV/f.u.: 0.17
SG: Imm2

a = 5.788 Å, b = 5.788 Å, c = 5.788 Å
α = 148.18°, β = 106.09°, γ = 82.72°
Sites, in units of the cell vectors:
Al  0.000  0.000  0.000
Cu  0.788  0.288  0.500
Cl  0.202  0.702  0.500
Cl  0.589  0.589  0.000

---

(6)
Computed, not measured: a relaxed Tb6PmNd2Tm3 crystal at the PBE level of DFT.

## Properties
Formation energy, eV per atom: 0.020
DOS(E_F), states/eV/f.u.: 16.11
SG: C2/m

a = 6.185 Å, b = 6.185 Å, c = 11.823 Å
α = 94.99°, β = 94.99°, γ = 119.97°
Sites, in units of the cell vectors:
Tb  0.086  0.419  0.755
Tb  0.247  0.247  0.245
Tb  0.419  0.086  0.755
Tb  0.581  0.914  0.245
Tb  0.753  0.753  0.755
Tb  0.914  0.581  0.245
Pm  0.000  0.000  0.500
Nd  0.333  0.667  0.500
Nd  0.667  0.333  0.500
Tm  0.167  0.833  0.000
Tm  0.500  0.500  0.000
Tm  0.833  0.167  0.000

---

(7)
Computed, not measured: a relaxed Sr2HW crystal at the PBE level of DFT.

## Properties
Excess energy over the best structure of this formula in the dataset, eV per formula unit: 0.00
DOS(E_F), states/eV/f.u.: 3.96
SG: I-42d

a = 6.519 Å, b = 6.519 Å, c = 6.519 Å
α = 110.66°, β = 110.66°, γ = 107.12°
Sites, in units of the cell vectors:
Sr  0.032  0.625  0.907
Sr  0.375  0.282  0.407
Sr  0.718  0.125  0.093
Sr  0.875  0.968  0.593
H  0.000  0.000  0.000
H  0.750  0.250  0.500
W  0.250  0.750  0.500
W  0.500  0.500  0.000

---

(8)
Computed, not measured: a relaxed TbPm2Tl2Ag2 crystal at the PBE level of DFT.

## Properties
Formation energy, eV per atom: -0.190
DOS(E_F), states/eV/f.u.: 5.64
SG: R-3m

a = 9.560 Å, b = 9.560 Å, c = 9.560 Å
α = 29.76°, β = 29.76°, γ = 29.76°
Sites, in units of the cell vectors:
Tb  0.000  0.000  0.000
Pm  0.124  0.124  0.124
Pm  0.876  0.876  0.876
Tl  0.262  0.262  0.262
Tl  0.738  0.738  0.738
Ag  0.391  0.391  0.391
Ag  0.609  0.609  0.609

---

Number 1: calculated volume 509.7 Å³/cell, total energy -5.04 eV per atom. Number 2: calculated volume 245.5 Å³/cell, total energy -4.82 eV per atom. Number 3: calculated volume 728.2 Å³/cell, total energy -3.13 eV per atom. Number 4: calculated volume 441.7 Å³/cell, total energy -5.25 eV per atom. Number 5: calculated volume 95.9 Å³/cell, total energy -3.34 eV per atom. Number 6: calculated volume 385.8 Å³/cell, total energy -4.60 eV per atom. Number 7: calculated volume 213.0 Å³/cell, total energy -3.88 eV per atom. Number 8: calculated volume 190.5 Å³/cell, total energy -3.70 eV per atom.